No. 1
Computed, not measured: Cs2InBiCl6 after structural relaxation at the GGA-PBEsol level of DFT.

Properties
Formation energy from raw total energies ... -13.86 eV per formula unit
Crystal system ... cubic

Cell and atoms, written as CIF:
```
data_Cs2InBiCl6
_chemical_formula_sum 'Cs8 In4 Bi4 Cl24'
_space_group_name_H-M_alt 'F m -3 m'
_space_group_IT_number 225
_space_group_name_Hall '-F 4 2 3'
_cell_length_a 11.1655
_cell_length_b 11.1655
_cell_length_c 11.1655
_cell_angle_alpha 90.00
_cell_angle_beta 90.00
_cell_angle_gamma 90.00
loop_
_atom_site_label
_atom_site_fract_x
_atom_site_fract_y
_atom_site_fract_z
_atom_site_occupancy
Cs1 0.2500 0.2500 0.2500 1
In1 0.0000 0.0000 0.0000 1
Bi1 0.0000 0.0000 0.5000 1
Cl1 0.0000 0.0000 0.2581 1
```

=====

No. 2
Computed, not measured: CsLaBi2Cl after structural relaxation at the GGA-PBEsol level of DFT.

Properties
Formation energy from raw total energies ... 1.21 eV per formula unit
Crystal system ... tetragonal

Cell and atoms, written as CIF:
```
data_CsLaBi2Cl
_chemical_formula_sum 'Cs1 La1 Bi2 Cl1'
_space_group_name_H-M_alt 'P 4/m m m'
_space_group_IT_number 123
_space_group_name_Hall '-P 4 2'
_cell_length_a 6.0270
_cell_length_b 6.0270
_cell_length_c 5.6595
_cell_angle_alpha 90.00
_cell_angle_beta 90.00
_cell_angle_gamma 90.00
loop_
_atom_site_label
_atom_site_fract_x
_atom_site_fract_y
_atom_site_fract_z
_atom_site_occupancy
Cs1 0.0000 0.0000 0.0000 1
La1 0.5000 0.5000 0.5000 1
Bi1 0.0000 0.5000 0.0000 1
Cl1 0.0000 0.0000 0.5000 1
```

=====

No. 3
Computed, not measured: Cs2LiBiCl6 after structural relaxation at the GGA-PBEsol level of DFT.

Properties
Formation energy from raw total energies ... -16.11 eV per formula unit
Crystal system ... cubic

Cell and atoms, written as CIF:
```
data_Cs2LiBiCl6
_chemical_formula_sum 'Cs8 Li4 Bi4 Cl24'
_space_group_name_H-M_alt 'F m -3 m'
_space_group_IT_number 225
_space_group_name_Hall '-F 4 2 3'
_cell_length_a 10.4914
_cell_length_b 10.4914
_cell_length_c 10.4914
_cell_angle_alpha 90.00
_cell_angle_beta 90.00
_cell_angle_gamma 90.00
loop_
_atom_site_label
_atom_site_fract_x
_atom_site_fract_y
_atom_site_fract_z
_atom_site_occupancy
Cs1 0.2500 0.2500 0.2500 1
Li1 0.0000 0.0000 0.0000 1
Bi1 0.0000 0.0000 0.5000 1
Cl1 0.0000 0.0000 0.2436 1
```

=====

No. 4
Computed, not measured: Cs2TlBiCl6 after structural relaxation at the GGA-PBEsol level of DFT.

Properties
Formation energy from raw total energies ... -14.12 eV per formula unit
Crystal system ... cubic

Cell and atoms, written as CIF:
```
data_Cs2TlBiCl6
_chemical_formula_sum 'Cs8 Tl4 Bi4 Cl24'
_space_group_name_H-M_alt 'F m -3 m'
_space_group_IT_number 225
_space_group_name_Hall '-F 4 2 3'
_cell_length_a 11.2846
_cell_length_b 11.2846
_cell_length_c 11.2846
_cell_angle_alpha 90.00
_cell_angle_beta 90.00
_cell_angle_gamma 90.00
loop_
_atom_site_label
_atom_site_fract_x
_atom_site_fract_y
_atom_site_fract_z
_atom_site_occupancy
Cs1 0.2500 0.2500 0.2500 1
Tl1 0.0000 0.0000 0.0000 1
Bi1 0.0000 0.0000 0.5000 1
Cl1 0.0000 0.0000 0.2619 1
```

=====

No. 5
Computed, not measured: CuBiCl2 after structural relaxation at the GGA-PBEsol level of DFT.

Properties
Formation energy from raw total energies ... 0.53 eV per formula unit
Crystal system ... cubic

Cell and atoms, written as CIF:
```
data_CuBiCl2
_chemical_formula_sum 'Cu4 Bi4 Cl8'
_space_group_name_H-M_alt 'F m -3 m'
_space_group_IT_number 225
_space_group_name_Hall '-F 4 2 3'
_cell_length_a 6.8867
_cell_length_b 6.8867
_cell_length_c 6.8867
_cell_angle_alpha 90.00
_cell_angle_beta 90.00
_cell_angle_gamma 90.00
loop_
_atom_site_label
_atom_site_fract_x
_atom_site_fract_y
_atom_site_fract_z
_atom_site_occupancy
Cu1 0.0000 0.0000 0.0000 1
Bi1 0.0000 0.0000 0.5000 1
Cl1 0.2500 0.2500 0.2500 1
```

=====

No. 6
Computed, not measured: KCuBiCl2 after structural relaxation at the GGA-PBEsol level of DFT.

Properties
Formation energy from raw total energies ... 1.50 eV per formula unit
Crystal system ... tetragonal

Cell and atoms, written as CIF:
```
data_KCuBiCl2
_chemical_formula_sum 'K1 Cu1 Bi1 Cl2'
_space_group_name_H-M_alt 'P 4/m m m'
_space_group_IT_number 123
_space_group_name_Hall '-P 4 2'
_cell_length_a 5.2736
_cell_length_b 5.2736
_cell_length_c 5.3058
_cell_angle_alpha 90.00
_cell_angle_beta 90.00
_cell_angle_gamma 90.00
loop_
_atom_site_label
_atom_site_fract_x
_atom_site_fract_y
_atom_site_fract_z
_atom_site_occupancy
K1 0.0000 0.0000 0.0000 1
Cu1 0.0000 0.0000 0.5000 1
Bi1 0.5000 0.5000 0.5000 1
Cl1 0.0000 0.5000 0.0000 1
```

=====

No. 7
Computed, not measured: CuBiS2Cl after structural relaxation at the GGA-PBEsol level of DFT.

Properties
Formation energy from raw total energies ... -0.42 eV per formula unit
Crystal system ... tetragonal

Cell and atoms, written as CIF:
```
data_CuBiS2Cl
_chemical_formula_sum 'Cu1 Bi1 S2 Cl1'
_space_group_name_H-M_alt 'P 4/m m m'
_space_group_IT_number 123
_space_group_name_Hall '-P 4 2'
_cell_length_a 4.6012
_cell_length_b 4.6012
_cell_length_c 4.4669
_cell_angle_alpha 90.00
_cell_angle_beta 90.00
_cell_angle_gamma 90.00
loop_
_atom_site_label
_atom_site_fract_x
_atom_site_fract_y
_atom_site_fract_z
_atom_site_occupancy
Cu1 0.0000 0.0000 0.0000 1
Bi1 0.5000 0.5000 0.5000 1
S1 0.0000 0.5000 0.0000 1
Cl1 0.0000 0.0000 0.5000 1
```

=====

No. 8
Computed, not measured: ErBi2ClO4 after structural relaxation at the GGA-PBEsol level of DFT.

Properties
Formation energy from raw total energies ... -16.76 eV per formula unit
Crystal system ... tetragonal

Cell and atoms, written as CIF:
```
data_ErBi2ClO4
_chemical_formula_sum 'Er1 Bi2 Cl1 O4'
_space_group_name_H-M_alt 'P 4/m m m'
_space_group_IT_number 123
_space_group_name_Hall '-P 4 2'
_cell_length_a 3.8289
_cell_length_b 3.8289
_cell_length_c 8.8035
_cell_angle_alpha 90.00
_cell_angle_beta 90.00
_cell_angle_gamma 90.00
loop_
_atom_site_label
_atom_site_fract_x
_atom_site_fract_y
_atom_site_fract_z
_atom_site_occupancy
Er1 0.0000 0.0000 0.0000 1
Bi1 0.5000 0.5000 0.2817 1
Cl1 0.0000 0.0000 0.5000 1
O1 0.0000 0.5000 0.1528 1
```

=====

Question: Among the records above, which one has the highest formation energy from raw total energies?
Answer: KCuBiCl2